Entry from the Alexandria database: a relaxed Mg4ZnHg crystal (PBE-GGA).

Cell lengths 5.758, 5.758, 5.758 Å; angles 60.00, 60.00, 60.00 degrees
Positions (direct):
Mg  0.125  0.125  0.125
Mg  0.125  0.125  0.625
Mg  0.125  0.625  0.125
Mg  0.625  0.125  0.125
Zn  0.750  0.750  0.750
Hg  0.500  0.500  0.500

Calculated values
- calculated formation energy (eV/f.u.) = 0.7
- space group = No. 216
- energy above the most stable polymorph in this dataset (meV/atom) = 214
- total magnetization (Bohr magnetons per cell) = 0.000